This record from Alexandria describes an optimized crystal structure of SmCu2As2. The functional is PBE.

The calculation puts the formation energy at -496.2 meV/atom. Its spin magnetization is 0.000 μB per cell. As for the energy: -4.9383 eV/atom. The symmetry is No. 15.

```
SmCu2As2
1.0
-1.910 -5.665 2.854
6.384 -1.526 -0.895
-1.185 5.224 3.147
Sm Cu As
2 4 4
Cartesian
5.035 -0.745 0.368
-1.746 -1.221 4.738
-0.626 1.940 4.200
2.108 0.396 1.658
1.181 -2.363 3.447
3.915 -3.906 0.906
2.592 -1.964 1.472
0.696 -0.002 3.634
-0.844 -3.679 3.025
4.133 1.712 2.081
```

This record from Alexandria describes an optimized crystal structure of SmCuAs. The functional is PBE.

The calculation puts the formation energy at -906.6 meV/atom. Its spin magnetization is 0.000 μB per cell. As for the energy: -5.3949 eV/atom. The symmetry is No. 187.

```
SmCuAs
1.0
4.090 0.000 0.000
0.000 4.126 0.000
0.000 -2.063 3.573
Cu As Sm
1 1 1
Cartesian
0.681 2.063 1.191
0.682 0.000 0.000
2.727 0.000 2.382
```

This record from Alexandria describes an optimized crystal structure of SmCu4As2. The functional is PBE.

The calculation puts the formation energy at -440.1 meV/atom. Its spin magnetization is 0.000 μB per cell. As for the energy: -4.7834 eV/atom. The symmetry is No. 136.

```
SmCu4As2
1.0
-2.138 2.803 1.815
-5.398 -0.776 -5.160
-3.292 -5.253 4.235
Cu As Sm
8 4 2
Cartesian
-6.546 -5.311 0.492
-2.144 -0.718 -1.417
-6.993 -1.430 -1.698
-4.741 0.132 -1.458
-3.834 -1.796 2.588
-1.599 -1.878 1.018
-6.087 -3.358 2.348
-7.091 -4.151 -1.943
-4.948 -1.733 -3.151
-7.272 -2.902 0.247
-3.742 -4.296 2.226
-3.556 -0.324 0.643
-1.069 1.401 0.907
-4.345 -3.015 -0.463
```

This record from Alexandria describes an optimized crystal structure of SmCuAs. The functional is PBE.

The calculation puts the formation energy at -611.0 meV/atom. Its spin magnetization is 0.011 μB per cell. As for the energy: -5.0993 eV/atom. The symmetry is No. 84.

```
SmCuAs
1.0
-1.755 -2.929 2.101
6.489 -0.701 4.442
-2.878 5.345 5.048
Cu Sm As
4 4 4
Cartesian
2.467 2.707 5.833
1.145 1.937 3.657
-0.068 1.680 6.110
1.925 0.035 5.481
5.185 0.868 5.540
1.109 2.977 8.900
0.747 -1.261 2.690
-1.573 3.776 3.950
0.461 4.096 6.095
-0.988 0.744 4.036
2.845 0.972 7.554
3.150 0.548 3.395
```

This record from Alexandria describes an optimized crystal structure of SrSmCu2As2. The functional is PBE.

The calculation puts the formation energy at -846.4 meV/atom. Its spin magnetization is 0.000 μB per cell. As for the energy: -4.8285 eV/atom. The symmetry is No. 164.

```
SrSmCu2As2
1.0
4.190 0.000 0.000
-2.095 3.629 0.000
0.000 0.000 8.449
Cu Sr Sm As
2 1 1 2
Cartesian
0.000 2.419 6.112
2.095 1.210 2.337
0.000 0.000 0.000
0.000 0.000 4.224
2.095 1.210 6.250
0.000 2.419 2.198
```

This record from Alexandria describes an optimized crystal structure of Sm8CuTe4As3. The functional is PBE.

Its spin magnetization is 0.003 μB per cell. As for the energy: -5.5948 eV/atom. The symmetry is No. 166. The raw formation energy comes out at -1.3220 eV per atom.

```
Sm8CuTe4As3
1.0
-4.324 7.331 1.119
-5.663 -2.395 -6.186
1.419 -5.208 6.675
Cu Sm As Te
1 8 3 4
Cartesian
-2.832 -1.198 -3.093
-4.112 2.204 2.603
-4.456 -2.476 -0.994
-4.824 4.816 -0.746
-5.912 -1.411 2.916
-6.593 1.202 -0.420
-2.655 1.139 -1.308
-1.974 -1.474 2.029
-3.743 -5.089 2.355
-4.284 -0.136 0.804
-2.122 -3.802 0.245
-4.993 2.468 -2.533
0.710 -2.604 3.338
0.000 0.000 0.000
-2.162 3.666 0.560
-1.452 1.062 3.897
```

This record from Alexandria describes an optimized crystal structure of SmZnCuAs2. The functional is PBE.

The calculation puts the formation energy at -676.5 meV/atom. Its spin magnetization is 0.000 μB per cell. As for the energy: -4.5541 eV/atom. The symmetry is No. 156.

```
SmZnCuAs2
1.0
4.165 0.000 0.000
-2.083 3.607 0.000
0.000 0.000 6.820
As Sm Cu Zn
2 1 1 1
Cartesian
2.083 1.202 1.747
0.000 0.000 5.050
0.000 2.405 6.710
2.083 1.202 4.408
0.000 0.000 2.544
```

This record from Alexandria describes an optimized crystal structure of CuSn2As3. The functional is PBE.

The calculation puts the formation energy at -72.4 meV/atom. Its spin magnetization is 0.000 μB per cell. As for the energy: -4.4141 eV/atom. The symmetry is No. 9.

```
CuSn2As3
1.0
7.206 -0.010 -1.244
-3.916 6.049 -1.244
0.000 0.000 7.323
Sn As Cu
4 6 2
Cartesian
0.729 3.504 2.437
4.535 1.570 2.397
-1.140 4.662 -1.264
2.549 2.513 -1.224
1.127 0.271 6.036
1.280 4.550 4.871
4.988 2.191 4.984
3.129 3.543 1.210
-0.383 1.095 2.374
-0.864 5.379 1.323
6.390 0.615 -1.173
-2.948 5.703 2.489
```

> energy of number 6 (Sm8CuTe4As3)?

-5.5948 eV/atom

> spin magnetization of number 3 (SmCu4As2)?

0.000 μB per cell